KRb2HgPd | PBE-GGA | relaxed

Cell lengths 6.6132, 6.6132, 5.4094 Å; angles 90.00, 90.00, 90.00 degrees
Last column: nearest neighbours and their distance in Å.
Space group P4/mmm (No. 123)
One atom of each set of equivalent atoms:
1 K 0.0000 0.0000 0.0000 [1 per cell]  8 Rb 4.27, 4 Hg 4.68
2 Rb 0.0000 0.5000 0.5000 [2 per cell]  2 Pd 3.31
3 Hg 0.5000 0.5000 0.0000 [1 per cell]  2 Pd 2.70
4 Pd 0.5000 0.5000 0.5000 [1 per cell]  2 Hg 2.70

Output
The energy relative to the elements comes out at -0.03 eV/atom. The calculation puts the magnetization at 0.0000 μB per atom. The calculation puts the total energy at -1.7316 eV/atom.


KRbHg2Pd | PBE-GGA | relaxed

Cell lengths 5.4882, 5.4882, 5.8341 Å; angles 90.00, 90.00, 90.00 degrees
Last column: nearest neighbours and their distance in Å.
Space group P4/mmm (No. 123)
One atom of each set of equivalent atoms:
1 K 0.0000 0.0000 0.0000 [1 per cell]  2 Pd 2.92
2 Rb 0.5000 0.5000 0.0000 [1 per cell]  4 K 3.88, 8 Hg 4.00
3 Hg 0.0000 0.5000 0.5000 [2 per cell]  2 Pd 2.74
4 Pd 0.0000 0.0000 0.5000 [1 per cell]  4 Hg 2.74, 2 K 2.92

Output
The energy relative to the elements comes out at -0.16 eV/atom. The calculation puts the magnetization at 0.0000 μB per atom. The calculation puts the total energy at -1.7355 eV/atom.


K2Rb6HgPd | PBE-GGA | relaxed

Cell lengths 14.0201, 14.0172, 9.9009 Å; angles 90.00, 134.89, 90.00 degrees
Last column: nearest neighbours and their distance in Å.
Space group Cm (No. 8)
One atom of each set of equivalent atoms:
1 K 0.0000 0.2501 0.0000 [4 per cell]  12 Rb 4.95-4.98
2 Rb 0.0006 0.2366 0.5003 [4 per cell]  1 Pd 3.32, 1 Hg 3.69
3 Rb 0.2365 0.0000 0.4999 [2 per cell]  1 Pd 3.32, 1 Hg 3.69
4 Rb 0.2373 0.0000 0.9737 [2 per cell]  1 Pd 3.32, 1 Hg 3.70
5 Rb 0.2643 0.5000 0.0272 [2 per cell]  1 Pd 3.32, 1 Hg 3.69
6 Rb 0.2638 0.5000 0.5007 [2 per cell]  1 Pd 3.32, 1 Hg 3.70
7 Hg 0.0000 0.5000 0.5006 [2 per cell]  6 Rb 3.69-3.70
8 Pd 0.0003 0.0000 0.5005 [2 per cell]  6 Rb 3.32

Output
The energy relative to the elements comes out at 0.01 eV/atom. The calculation puts the magnetization at 0.0004 μB per atom. The calculation puts the total energy at -1.3360 eV/atom.


KRb2HgPd | PBE-GGA | relaxed

Cell lengths 5.0690, 6.0965, 15.2973 Å; angles 90.00, 90.00, 90.00 degrees
Last column: nearest neighbours and their distance in Å.
Space group Imm2 (No. 44)
One atom of each set of equivalent atoms:
1 K 0.0000 0.0000 0.0000 [2 per cell]  2 Pd 3.27, 1 Hg 3.27
2 Rb 0.0000 0.0000 0.2740 [2 per cell]  2 Pd 3.35
3 Rb 0.0000 0.0000 0.5434 [2 per cell]  1 Hg 3.71, 4 K 4.02, 2 Pd 4.09, 1 Rb 4.12
4 Hg 0.0000 0.0000 0.7860 [2 per cell]  2 Pd 2.81
5 Pd 0.0000 0.5000 0.3654 [2 per cell]  2 Hg 2.81

Output
The energy relative to the elements comes out at -0.01 eV/atom. The calculation puts the magnetization at 0.0000 μB per atom. The calculation puts the total energy at -1.7160 eV/atom.


KRbHg2Pd | PBE-GGA | relaxed

Cell lengths 5.4776, 5.4776, 6.0009 Å; angles 90.00, 90.00, 90.00 degrees
Last column: nearest neighbours and their distance in Å.
Space group P4/mmm (No. 123)
One atom of each set of equivalent atoms:
1 K 0.0000 0.0000 0.0000 [1 per cell]  4 Rb 3.87, 8 Hg 4.06
2 Rb 0.5000 0.5000 0.0000 [1 per cell]  2 Pd 3.00
3 Hg 0.0000 0.5000 0.5000 [2 per cell]  2 Pd 2.74
4 Pd 0.5000 0.5000 0.5000 [1 per cell]  4 Hg 2.74, 2 Rb 3.00

Output
The energy relative to the elements comes out at -0.12 eV/atom. The calculation puts the magnetization at 0.0000 μB per atom. The calculation puts the total energy at -1.6897 eV/atom.


KRb2HgPd | PBE-GGA | relaxed

Cell lengths 6.4950, 6.4950, 6.2285 Å; angles 90.00, 90.00, 90.00 degrees
Last column: nearest neighbours and their distance in Å.
Space group P4/mmm (No. 123)
One atom of each set of equivalent atoms:
1 K 0.0000 0.0000 0.0000 [1 per cell]  2 Pd 3.11
2 Rb 0.0000 0.5000 0.5000 [2 per cell]  2 Pd 3.25
3 Hg 0.5000 0.5000 0.0000 [1 per cell]  8 Rb 4.50, 4 K 4.59
4 Pd 0.0000 0.0000 0.5000 [1 per cell]  2 K 3.11, 4 Rb 3.25

Output
The energy relative to the elements comes out at 0.05 eV/atom. The calculation puts the magnetization at 0.0000 μB per atom. The calculation puts the total energy at -1.6544 eV/atom.


K2RbHg7Pd2 | PBE-GGA | relaxed

Cell lengths 7.6530, 7.6010, 14.5762 Å; angles 90.00, 104.95, 90.00 degrees
Last column: nearest neighbours and their distance in Å.
Space group C2/m (No. 12)
One atom of each set of equivalent atoms:
1 K 0.1822 0.0000 0.3641 [4 per cell]  8 Hg 3.45-3.82
2 Rb 0.0000 0.0000 0.0000 [2 per cell]  12 Hg 3.80-3.86
3 Hg 0.0000 0.5000 0.0000 [2 per cell]  2 Pd 2.73
4 Hg 0.1510 0.2506 0.8052 [8 per cell]  2 Pd 2.70
5 Hg 0.1987 0.5000 0.3906 [4 per cell]  1 Pd 2.77
6 Pd 0.0993 0.5000 0.1941 [4 per cell]  6 Hg 2.70-2.77

Output
The energy relative to the elements comes out at -0.23 eV/atom. The calculation puts the magnetization at 0.0000 μB per atom. The calculation puts the total energy at -1.5400 eV/atom.


KHgPdS2 | PBE-GGA | relaxed

Cell lengths 7.0123, 4.7401, 7.5268 Å; angles 90.00, 97.80, 90.00 degrees
Last column: nearest neighbours and their distance in Å.
Space group P2/c (No. 13)
One atom of each set of equivalent atoms:
1 K 0.0000 0.1355 0.2500 [2 per cell]  6 S 3.22-3.39
2 Hg 0.5000 0.0000 0.0000 [2 per cell]  2 S 2.43
3 Pd 0.5000 0.4992 0.2500 [2 per cell]  4 S 2.54
4 S 0.2680 0.3823 0.9706 [4 per cell]  1 Hg 2.43, 2 Pd 2.54

Output
The calculation puts the magnetization at 0.1376 μB per atom. The calculation puts the total energy at -3.3907 eV/atom.